{
  "formula": "Bi2As2I",
  "functional": "SCAN",
  "state": "single point on PBEsol structure",
  "formation_energy_uncorrected_ev_per_atom": 0.0819,
  "polymorph_energy_ev_per_atom": 0.043,
  "e_tot_ev_per_atom": -46.775,
  "dos_at_fermi_per_ev_cell": 2.5,
  "cell": [[-3.198, -1.880, 4.049], [5.972, -1.106, 0.479], [2.797, 3.039, 3.619]],
  "species": ["As", "As", "I", "Bi", "Bi"],
  "frac_coords": [[0.631, 0.262, 0.369], [0.369, 0.738, 0.631], [0.000, 0.000, 0.000], [0.250, 0.500, 0.250], [0.750, 0.500, 0.750]]
}

=====

{
  "formula": "SiSb2PI",
  "functional": "SCAN",
  "state": "single point on PBEsol structure",
  "formation_energy_uncorrected_ev_per_atom": 1.0934,
  "e_tot_ev_per_atom": -25.242,
  "dos_at_fermi_per_ev_cell": 4.6,
  "cell": [[5.043, 0.000, 0.000], [0.000, 5.220, 0.000], [0.000, 0.000, 5.220]],
  "species": ["Sb", "Sb", "Si", "P", "I"],
  "frac_coords": [[0.000, 0.000, 0.500], [0.000, 0.500, 0.000], [0.000, 0.000, 0.000], [0.500, 0.500, 0.500], [0.500, 0.000, 0.000]]
}

=====

Copy entry 2 word for word.
{
  "formula": "SiSb2PI",
  "functional": "SCAN",
  "state": "single point on PBEsol structure",
  "formation_energy_uncorrected_ev_per_atom": 1.0934,
  "e_tot_ev_per_atom": -25.242,
  "dos_at_fermi_per_ev_cell": 4.6,
  "cell": [[5.043, 0.000, 0.000], [0.000, 5.220, 0.000], [0.000, 0.000, 5.220]],
  "species": ["Sb", "Sb", "Si", "P", "I"],
  "frac_coords": [[0.000, 0.000, 0.500], [0.000, 0.500, 0.000], [0.000, 0.000, 0.000], [0.500, 0.500, 0.500], [0.500, 0.000, 0.000]]
}

=====

- Number 2 is which compound?
  SiSb2PI